# 1
Density functional theory data (PBE) for a relaxed structure of GaHg3Os.

Calculated values
Its space group is Pm-3m (221). As for the theoretical density: 10.674 g cm⁻³. Its crystal system is cubic. As for the formation energy: 134 kJ per mole of atoms.

Unit cell a=5.1180 b=5.1180 c=5.1180 alpha=90.00 beta=90.00 gamma=90.00
Fractional positions:
Ga1 0.0000 0.0000 0.0000
Hg1 0.0000 0.0000 0.5000
Hg2 0.0000 0.5000 0.0000
Hg3 0.5000 0.0000 0.0000
Os1 0.5000 0.5000 0.5000

---

# 2
Density functional theory data (PBE) for a relaxed structure of LiRh2Br.

Calculated values
The value obtained for the uncorrected formation energy is 0.295 eV/atom. Its space group is F-43m (216). As for the theoretical density: 7.553 g cm⁻³. Its crystal system is cubic.

Unit cell a=4.4979 b=4.4979 c=4.4979 alpha=60.00 beta=60.00 gamma=60.00
Fractional positions:
Li1 0.0000 0.0000 0.0000
Rh1 0.5000 0.5000 0.5000
Rh2 0.7500 0.7500 0.7500
Br1 0.2500 0.2500 0.2500

---

# 3
Density functional theory data (PBE) for a relaxed structure of Ce7Tl2Sn2.

Calculated values
Its space group is Cmmm (65). As for the theoretical density: 7.532 g cm⁻³. Its crystal system is orthorhombic. As for the formation energy: -8 kJ per mole of atoms.

Unit cell a=7.2408 b=7.2408 c=7.0777 alpha=90.00 beta=90.00 gamma=104.85
Fractional positions:
Ce1 0.0000 0.0000 0.0000
Ce2 0.0000 0.5000 0.3091
Ce3 0.0000 0.5000 0.6909
Ce4 0.5000 0.0000 0.3091
Ce5 0.5000 0.0000 0.6909
Ce6 0.5000 0.5000 0.3054
Ce7 0.5000 0.5000 0.6946
Tl1 0.1621 0.1621 0.5000
Tl2 0.8379 0.8379 0.5000
Sn1 0.2872 0.7128 0.0000
Sn2 0.7128 0.2872 0.0000

---

# 4
Density functional theory data (PBE) for a relaxed structure of TbTm2ThP4.

Calculated values
Its space group is P2/m (10). As for the theoretical density: 7.711 g cm⁻³. Its crystal system is monoclinic. As for the formation energy: -155 kJ per mole of atoms.

Unit cell a=6.9471 b=4.0277 c=6.9623 alpha=90.00 beta=109.50 gamma=90.00
Fractional positions:
Tb1 0.0000 0.0000 0.0000
Tm1 0.5000 0.0000 0.5000
Tm2 0.5000 0.5000 0.0000
Th1 0.0000 0.5000 0.5000
P1 0.2567 0.5000 0.2502
P2 0.2592 0.0000 0.7559
P3 0.7408 0.0000 0.2441
P4 0.7433 0.5000 0.7498

---

# 5
Density functional theory data (PBE) for a relaxed structure of NaPuP2O6.

Calculated values
The value obtained for the uncorrected formation energy is -2.268 eV/atom. Its space group is C2/c (15). As for the theoretical density: 5.041 g cm⁻³. Its crystal system is monoclinic.

Unit cell a=6.9018 b=6.9018 c=6.6887 alpha=110.36 beta=110.36 gamma=84.44
Fractional positions:
Na1 0.0486 0.9514 0.7500
Na2 0.9514 0.0486 0.2500
Pu1 0.4182 0.5818 0.7500
Pu2 0.5818 0.4182 0.2500
P1 0.0809 0.4207 0.1322
P2 0.4207 0.0809 0.6322
P3 0.5793 0.9191 0.3678
P4 0.9191 0.5793 0.8678
O1 0.0921 0.6318 0.7982
O2 0.1947 0.2397 0.0149
O3 0.2397 0.1947 0.5149
O4 0.2582 0.5518 0.3474
O5 0.3682 0.9079 0.7018
O6 0.4482 0.7418 0.1526
O7 0.5518 0.2582 0.8474
O8 0.6318 0.0921 0.2982
O9 0.7418 0.4482 0.6526
O10 0.7603 0.8053 0.4851
O11 0.8053 0.7603 0.9851
O12 0.9079 0.3682 0.2018

---

# 6
Density functional theory data (PBE) for a relaxed structure of Tb2LuBi.

Calculated values
Its space group is R-3m (166). As for the theoretical density: 9.058 g cm⁻³. Its crystal system is trigonal. As for the formation energy: 2 kJ per mole of atoms.

Unit cell a=12.1617 b=12.1617 c=12.1617 alpha=16.64 beta=16.64 gamma=16.64
Fractional positions:
Tb1 0.0883 0.0883 0.0883
Tb2 0.9117 0.9117 0.9117
Lu1 0.5000 0.5000 0.5000
Bi1 0.0000 0.0000 0.0000

---

# 7
Density functional theory data (PBE) for a relaxed structure of Ho2Sc4Si3H2.

Calculated values
Its space group is I4/mmm (139). As for the theoretical density: 4.898 g cm⁻³. Its crystal system is tetragonal.

Unit cell a=11.5251 b=11.5251 c=11.5251 alpha=158.69 beta=158.69 gamma=30.32
Fractional positions:
Ho1 0.1987 0.1987 0.0000
Ho2 0.8013 0.8013 0.0000
Sc1 0.0782 0.5782 0.5000
Sc2 0.4218 0.9218 0.5000
Sc3 0.5782 0.0782 0.5000
Sc4 0.9218 0.4218 0.5000
Si1 0.3325 0.3325 0.0000
Si2 0.5000 0.5000 0.0000
Si3 0.6675 0.6675 0.0000
H1 0.0949 0.0949 0.0000
H2 0.9051 0.9051 0.0000

---

# 8
Density functional theory data (PBE) for a relaxed structure of Sb2TeWS.

Calculated values
The value obtained for the uncorrected formation energy is 0.676 eV/atom. Its space group is P4/mmm (123). As for the theoretical density: 6.912 g cm⁻³. Its crystal system is tetragonal.

Unit cell a=5.2524 b=5.2524 c=5.1116 alpha=90.00 beta=90.00 gamma=90.00
Fractional positions:
Sb1 0.0000 0.5000 0.0000
Sb2 0.5000 0.0000 0.0000
Te1 0.0000 0.0000 0.5000
W1 0.0000 0.0000 0.0000
S1 0.5000 0.5000 0.5000

---

# 9
Density functional theory data (PBE) for a relaxed structure of PuPaBiPd.

Calculated values
Its space group is F-43m (216). As for the theoretical density: 13.607 g cm⁻³. Its crystal system is cubic. As for the formation energy: 2 kJ per mole of atoms.

Unit cell a=5.1478 b=5.1478 c=5.1478 alpha=60.00 beta=60.00 gamma=60.00
Fractional positions:
Pu1 0.0000 0.0000 0.0000
Pa1 0.2500 0.2500 0.2500
Bi1 0.5000 0.5000 0.5000
Pd1 0.7500 0.7500 0.7500

---

# 10
Density functional theory data (PBE) for a relaxed structure of Ti4ZnIn.

Calculated values
Its space group is Pbam (55). As for the theoretical density: 5.910 g cm⁻³. Its crystal system is orthorhombic. As for the formation energy: 2 kJ per mole of atoms.

Unit cell a=7.9831 b=18.4848 c=2.8311 alpha=90.00 beta=90.00 gamma=90.00
Fractional positions:
Ti1 0.0593 0.1834 0.0000
Ti2 0.0817 0.4406 0.0000
Ti3 0.2122 0.0543 0.0000
Ti4 0.2283 0.3136 0.0000
Ti5 0.2717 0.8136 0.0000
Ti6 0.2878 0.5543 0.0000
Ti7 0.4183 0.9406 0.0000
Ti8 0.4407 0.6834 0.0000
Ti9 0.5593 0.3166 0.0000
Ti10 0.5817 0.0594 0.0000
Ti11 0.7122 0.4457 0.0000
Ti12 0.7283 0.1864 0.0000
Ti13 0.7717 0.6864 0.0000
Ti14 0.7878 0.9457 0.0000
Ti15 0.9183 0.5594 0.0000
Ti16 0.9407 0.8166 0.0000
Zn1 0.1042 0.9291 0.5000
Zn2 0.3958 0.4291 0.5000
Zn3 0.6042 0.5709 0.5000
Zn4 0.8958 0.0709 0.5000
In1 0.1067 0.6842 0.5000
In2 0.3933 0.1842 0.5000
In3 0.6067 0.8158 0.5000
In4 0.8933 0.3158 0.5000

---

# 11
Density functional theory data (PBE) for a relaxed structure of La2TmSn3Ir4.

Calculated values
Its space group is P-4m2 (115). As for the theoretical density: 11.530 g cm⁻³. Its crystal system is tetragonal. As for the formation energy: -65 kJ per mole of atoms.

Unit cell a=4.4179 b=4.4179 c=11.5976 alpha=90.00 beta=90.00 gamma=90.00
Fractional positions:
La1 0.0000 0.5000 0.2370
La2 0.5000 0.0000 0.7630
Tm1 0.0000 0.0000 0.5000
Sn1 0.0000 0.5000 0.8737
Sn2 0.5000 0.0000 0.1263
Sn3 0.5000 0.5000 0.5000
Ir1 0.0000 0.0000 0.0000
Ir2 0.0000 0.5000 0.6465
Ir3 0.5000 0.0000 0.3535
Ir4 0.5000 0.5000 0.0000

---

# 12
Density functional theory data (PBE) for a relaxed structure of DyNiPdAu.

Calculated values
Its space group is F-43m (216). As for the theoretical density: 12.388 g cm⁻³. Its crystal system is cubic. As for the formation energy: -50 kJ per mole of atoms.

Unit cell a=4.6330 b=4.6330 c=4.6330 alpha=60.00 beta=60.00 gamma=60.00
Fractional positions:
Dy1 0.0000 0.0000 0.0000
Ni1 0.2500 0.2500 0.2500
Pd1 0.7500 0.7500 0.7500
Au1 0.5000 0.5000 0.5000

---

# 13
Density functional theory data (PBE) for a relaxed structure of PmMgTl.

Calculated values
Its space group is F-43m (216). As for the theoretical density: 6.789 g cm⁻³. Its crystal system is cubic. As for the formation energy: -20 kJ per mole of atoms.

Unit cell a=5.0562 b=5.0562 c=5.0562 alpha=60.00 beta=60.00 gamma=60.00
Fractional positions:
Pm1 0.0000 0.0000 0.0000
Mg1 0.5000 0.5000 0.5000
Tl1 0.2500 0.2500 0.2500

---

# 14
Density functional theory data (PBE) for a relaxed structure of YAl2I8.

Calculated values
The value obtained for the uncorrected formation energy is -0.802 eV/atom. Its space group is C2/m (12). As for the theoretical density: 3.392 g cm⁻³. Its crystal system is monoclinic.

Unit cell a=9.0143 b=9.0143 c=7.2641 alpha=96.64 beta=96.64 gamma=76.21
Fractional positions:
Y1 0.0000 0.0000 0.0000
Al1 0.1934 0.1934 0.6502
Al2 0.8066 0.8066 0.3498
I1 0.0834 0.7232 0.2301
I2 0.1880 0.1880 0.2811
I3 0.2768 0.9166 0.7699
I4 0.3678 0.3678 0.7883
I5 0.6322 0.6322 0.2117
I6 0.7232 0.0834 0.2301
I7 0.8120 0.8120 0.7189
I8 0.9166 0.2768 0.7699

---

# 15
Density functional theory data (PBE) for a relaxed structure of CdCN2.

Calculated values
The value obtained for the uncorrected formation energy is 1.346 eV/atom. Its space group is R3m (160). As for the theoretical density: 3.200 g cm⁻³. Its crystal system is trigonal.

Unit cell a=4.7334 b=4.7334 c=4.7334 alpha=62.46 beta=62.46 gamma=62.46
Fractional positions:
Cd1 0.0000 0.0000 0.0000
C1 0.1874 0.1874 0.1874
N1 0.2909 0.2909 0.2909
N2 0.8132 0.8132 0.8132

---

# 16
Density functional theory data (PBE) for a relaxed structure of Dy6Er5Tm.

Calculated values
Its space group is Immm (71). As for the theoretical density: 8.821 g cm⁻³. Its crystal system is orthorhombic. As for the formation energy: 12 kJ per mole of atoms.

Unit cell a=9.9819 b=9.9819 c=9.9819 alpha=146.56 beta=136.76 gamma=55.74
Fractional positions:
Dy1 0.0716 0.3216 0.7500
Dy2 0.2500 0.0000 0.2500
Dy3 0.4285 0.6784 0.7500
Dy4 0.5715 0.3216 0.2500
Dy5 0.7500 0.0000 0.7500
Dy6 0.9284 0.6784 0.2500
Er1 0.1544 0.1544 0.0000
Er2 0.3454 0.8454 0.5000
Er3 0.5000 0.5000 0.0000
Er4 0.6546 0.1546 0.5000
Er5 0.8456 0.8456 0.0000
Tm1 0.0000 0.5000 0.5000

---

# 17
Density functional theory data (PBE) for a relaxed structure of LiMg2Tc.

Calculated values
Its space group is Pmmm (47). As for the theoretical density: 3.810 g cm⁻³. Its crystal system is orthorhombic. As for the formation energy: 35 kJ per mole of atoms.

Unit cell a=2.9836 b=4.6459 c=4.8276 alpha=90.00 beta=90.00 gamma=90.00
Fractional positions:
Li1 0.0000 0.0000 0.0000
Mg1 0.0000 0.5000 0.5000
Mg2 0.5000 0.5000 0.0000
Tc1 0.5000 0.0000 0.5000

---

# 18
Density functional theory data (PBE) for a relaxed structure of Tb2Pr4ErTm2.

Calculated values
Its space group is C2/m (12). As for the theoretical density: 7.703 g cm⁻³. Its crystal system is monoclinic. As for the formation energy: 3 kJ per mole of atoms.

Unit cell a=8.0866 b=8.0866 c=8.0449 alpha=107.53 beta=107.53 gamma=36.81
Fractional positions:
Tb1 0.1116 0.1116 0.1711
Tb2 0.8884 0.8884 0.8289
Pr1 0.2228 0.2228 0.8302
Pr2 0.4464 0.4464 0.1704
Pr3 0.5536 0.5536 0.8296
Pr4 0.7772 0.7772 0.1698
Er1 0.0000 0.0000 0.5000
Tm1 0.3326 0.3326 0.5004
Tm2 0.6674 0.6674 0.4996

---

# 19
Density functional theory data (PBE) for a relaxed structure of CsSbI2N.

Calculated values
The value obtained for the uncorrected formation energy is 0.188 eV/atom. Its space group is P4/mmm (123). As for the theoretical density: 4.201 g cm⁻³. Its crystal system is tetragonal.

Unit cell a=7.2261 b=7.2261 c=3.9553 alpha=90.00 beta=90.00 gamma=90.00
Fractional positions:
Cs1 0.0000 0.0000 0.0000
Sb1 0.5000 0.5000 0.0000
I1 0.0000 0.5000 0.5000
I2 0.5000 0.0000 0.5000
N1 0.5000 0.5000 0.5000

---

# 20
Density functional theory data (PBE) for a relaxed structure of Ta6Nb3Zn.

Calculated values
Its space group is P2_1/m (11). As for the theoretical density: 13.230 g cm⁻³. Its crystal system is monoclinic. As for the formation energy: 1 kJ per mole of atoms.

Unit cell a=8.0263 b=4.7267 c=9.9056 alpha=90.00 beta=107.24 gamma=90.00
Fractional positions:
Ta1 0.0418 0.2500 0.3951
Ta2 0.1334 0.7500 0.1987
Ta3 0.2607 0.2500 0.9987
Ta4 0.3465 0.2500 0.2973
Ta5 0.3575 0.7500 0.8101
Ta6 0.4504 0.2500 0.5927
Ta7 0.5496 0.7500 0.4073
Ta8 0.6425 0.2500 0.1899
Ta9 0.6535 0.7500 0.7027
Ta10 0.7393 0.7500 0.0013
Ta11 0.8666 0.2500 0.8013
Ta12 0.9582 0.7500 0.6049
Nb1 0.0577 0.7500 0.9044
Nb2 0.1615 0.2500 0.7025
Nb3 0.2523 0.7500 0.5020
Nb4 0.7477 0.2500 0.4980
Nb5 0.8385 0.7500 0.2975
Nb6 0.9423 0.2500 0.0956
Zn1 0.4399 0.7500 0.1138
Zn2 0.5601 0.2500 0.8862

---

Calculated E_tot in order - -1.6462, -4.2771, -5.0170, -6.9343, -7.8898, -4.3996, -5.8460, -5.0175, -8.2018, -5.9114, -6.8565, -5.2356, -3.1139, -3.1974, -5.3516, -4.4526, -3.5062, -4.6276, -3.0927, -10.2519 eV/atom